First-principles (SCAN) data for TaOs2Pb at its PBEsol-relaxed geometry, as listed in Alexandria via LeMat-Bulk.

The structure in extended XYZ format:
```
4
Lattice="-1.556 2.426 4.558 1.556 -2.426 4.558 1.556 2.426 -4.558" Properties=species:S:1:pos:R:3 pbc="T T T"
Ta 0.000 0.000 0.000
Os 1.556 0.000 2.114
Os 0.000 2.426 2.445
Pb 0.000 0.000 4.558
```

## Properties
- formation enthalpy at 0 K (eV per atom) = 0.687



First-principles (SCAN) data for TaTiOsPb2 at its PBEsol-relaxed geometry, as listed in Alexandria via LeMat-Bulk.

The structure in extended XYZ format:
```
5
Lattice="5.119 0.000 0.000 0.000 5.119 0.000 0.000 0.000 4.453" Properties=species:S:1:pos:R:3 pbc="T T T"
Ta 0.000 0.000 0.000
Ti 2.560 2.560 2.227
Os 2.560 2.560 0.000
Pb 0.000 2.560 2.227
Pb 2.560 0.000 2.227
```

## Properties
- formation enthalpy at 0 K (eV per atom) = 1.569



First-principles (SCAN) data for TcOs2Pb at its PBEsol-relaxed geometry, as listed in Alexandria via LeMat-Bulk.

The structure in extended XYZ format:
```
4
Lattice="1.429 0.825 9.250 -1.429 0.825 9.250 0.000 -1.650 9.250" Properties=species:S:1:pos:R:3 pbc="T T T"
Tc 0.000 0.000 0.000
Os 0.000 0.000 7.193
Os 0.000 0.000 20.557
Pb 0.000 0.000 13.875
```

## Properties
- formation enthalpy at 0 K (eV per atom) = 0.724



First-principles (SCAN) data for TcOs2Pb at its PBEsol-relaxed geometry, as listed in Alexandria via LeMat-Bulk.

The structure in extended XYZ format:
```
4
Lattice="-1.979 1.979 4.024 1.979 -1.979 4.024 1.979 1.979 -4.024" Properties=species:S:1:pos:R:3 pbc="T T T"
Tc 0.000 0.000 0.000
Os 0.000 0.000 4.024
Os 0.000 1.979 2.012
Pb 1.979 0.000 2.012
```

## Properties
- formation enthalpy at 0 K (eV per atom) = 0.890



> Which of these has the highest formation enthalpy at 0 K?

TaTiOsPb2



> The lowest formation enthalpy at 0 K belongs to which entry?

TaOs2Pb